Entry 1:
The following is a GGA-PBE calculation of VPdBr3 after structural relaxation, from Alexandria via LeMat-Bulk.

Values from the calculation:
Relative energy among the computed polymorphs ... 0.000 eV/atom

abc: 5.0955 5.0955 5.0955
angles: 90.00 90.00 90.00
Space group Pm-3m (No. 221)
Unique sites:
V: 0.0000 0.0000 0.0000 x1
Pd: 0.5000 0.5000 0.5000 x1
Br: 0.0000 0.0000 0.5000 x3

Entry 2:
The following is a GGA-PBE calculation of Tb7Nd3Er after structural relaxation, from Alexandria via LeMat-Bulk.

Values from the calculation:
Relative energy among the computed polymorphs ... 0.000 eV/atom
Calculated formation energy ... 0.14 eV per atom

abc: 6.9793 5.5604 10.0301
angles: 90.00 109.23 90.00
Space group P2/m (No. 10)
Unique sites:
Tb: 0.0000 0.0000 0.0000 x1
Tb: 0.1475 0.5000 0.2893 x2
Tb: 0.3227 0.5000 0.6359 x2
Tb: 0.4241 0.0000 0.8288 x2
Nd: 0.0000 0.0000 0.5000 x1
Nd: 0.2801 0.5000 0.9961 x2
Er: 0.5000 0.0000 0.5000 x1

Entry 3:
The following is a GGA-PBE calculation of Hf2TaZnMo after structural relaxation, from Alexandria via LeMat-Bulk.

Values from the calculation:
Calculated formation energy ... 1.32 eV per atom

abc: 5.1309 5.1309 4.6835
angles: 90.00 90.00 90.00
Space group P4/mmm (No. 123)
Unique sites:
Hf: 0.0000 0.5000 0.0000 x2
Ta: 0.0000 0.0000 0.0000 x1
Zn: 0.5000 0.5000 0.5000 x1
Mo: 0.0000 0.0000 0.5000 x1

Entry 4:
The following is a GGA-PBE calculation of Ta2TcSe after structural relaxation, from Alexandria via LeMat-Bulk.

Values from the calculation:
Calculated total energy ... -38.06 eV per formula unit

abc: 3.1300 3.1297 6.9411
angles: 90.00 90.08 90.00
Space group P2/m (No. 10)
Unique sites:
Ta: 0.0009 0.0000 0.2672 x2
Tc: 0.5000 0.5000 0.5000 x1
Se: 0.5000 0.5000 0.0000 x1

Which volume belongs to each record? In order, 132 368 123 68 Å³/cell.